Record 1
{"formula": "ZnHgPt2", "functional": "meta-GGA SCAN", "state": "PBEsol geometry", "ef_ev_per_atom": -0.13, "spacegroup": "Pmm2 (25)", "lattice": [[-1.849, 0.626, 2.145], [2.164, -2.966, 2.732], [2.900, 3.482, 1.483]], "species": ["Hg", "Pt", "Pt", "Zn"], "fractional_positions": [[0.500, 0.500, 0.185], [0.000, 0.000, 0.055], [0.000, 0.500, 0.681], [0.500, 0.000, 0.579]]}

***

Record 2
{"formula": "ZnHgPt2", "functional": "meta-GGA SCAN", "state": "PBEsol geometry", "ef_ev_per_atom": -0.23, "spacegroup": "Pmmm (47)", "lattice": [[2.897, 0.000, 0.000], [0.000, 3.603, 0.000], [0.000, 0.000, 6.009]], "species": ["Hg", "Pt", "Pt", "Zn"], "fractional_positions": [[0.500, 0.500, 0.500], [0.000, 0.000, 0.773], [0.000, 0.000, 0.227], [0.500, 0.500, 0.000]]}

***

Record 3
{"formula": "ZrHg2Pt", "functional": "meta-GGA SCAN", "state": "PBEsol geometry", "ef_ev_per_atom": -0.41, "spacegroup": "I-4m2 (119)", "lattice": [[4.509, 0.000, 0.000], [-2.254, 4.329, -0.021], [0.000, 2.367, 3.838]], "species": ["Hg", "Hg", "Pt", "Zr"], "fractional_positions": [[0.750, 0.500, 0.750], [0.500, 0.000, 0.500], [0.250, 0.500, 0.250], [0.000, 0.000, 0.000]]}

***

Record 4
{"formula": "ZrHgPt", "functional": "meta-GGA SCAN", "state": "PBEsol geometry", "ef_ev_per_atom": -0.53, "spacegroup": "P3m1 (156)", "lattice": [[3.591, 0.000, 0.000], [-1.795, 3.110, 0.000], [0.000, 0.000, 5.727]], "species": ["Hg", "Pt", "Zr"], "fractional_positions": [[0.000, 0.000, 0.989], [0.667, 0.333, 0.642], [0.333, 0.667, 0.369]]}